Record 1
DFT (PBE-GGA) results for an optimized crystal structure of PmNi3As2.

Results
**Energy of formation**: -476 meV/atom
**Space group**: Immm, No. 71

Cell and atoms, written as extended XYZ:
```
12
Lattice="-2.000 3.714 6.503 2.000 -3.714 6.503 2.000 3.714 -6.503" Properties=species:S:1:pos:R:3 pbc="T T T"
Pm 0.000 0.000 1.868
Pm 0.000 0.000 11.138
Ni 2.000 2.313 -2.221
Ni 0.000 2.499 0.000
Ni 2.000 2.313 2.221
Ni 0.000 1.401 4.282
Ni 0.000 4.929 0.000
Ni 0.000 1.401 8.724
As 2.000 1.362 0.000
As 2.000 0.000 4.367
As 0.000 3.714 2.136
As 0.000 2.352 6.503
```

Record 2
DFT (PBE-GGA) results for an optimized crystal structure of ReSbTePd2.

Results
**Space group**: P4/mmm, No. 123
**E_form (uncorrected)**: 1459 meV/atom

Cell and atoms, written as extended XYZ:
```
5
Lattice="4.872 0.000 0.000 0.000 4.872 0.000 0.000 0.000 5.895" Properties=species:S:1:pos:R:3 pbc="T T T"
Re 0.000 0.000 0.000
Sb 2.436 2.436 2.948
Te 2.436 2.436 0.000
Pd 0.000 2.436 2.948
Pd 2.436 0.000 2.948
```

Record 3
DFT (PBE-GGA) results for an optimized crystal structure of Cs2CdSiO4.

Results
**Space group**: Fddd, No. 70
**E_form (uncorrected)**: -1853 meV/atom

Cell and atoms, written as extended XYZ:
```
16
Lattice="0.000 6.179 11.252 2.746 0.000 11.252 2.746 6.179 0.000" Properties=species:S:1:pos:R:3 pbc="T T T"
Cs 2.059 4.634 1.155
Cs 3.432 7.723 6.781
Cs 2.059 4.634 15.723
Cs 3.432 7.723 21.349
Cd 0.686 1.545 2.813
Cd 4.805 10.813 19.691
Si 2.059 4.634 8.439
Si 3.432 7.723 14.065
O 3.064 3.657 7.525
O 3.064 5.611 9.353
O 4.437 6.746 14.979
O 4.437 8.700 13.151
O 1.055 3.657 9.353
O 1.055 5.611 7.525
O 2.428 6.746 13.151
O 2.428 8.700 14.979
```

Record 4
DFT (PBE-GGA) results for an optimized crystal structure of HfCrPPt2.

Results
**Energy of formation**: 1297 meV/atom
**Space group**: P4/mmm, No. 123

Cell and atoms, written as extended XYZ:
```
5
Lattice="4.874 0.000 0.000 0.000 4.874 0.000 0.000 0.000 4.923" Properties=species:S:1:pos:R:3 pbc="T T T"
Hf 0.000 0.000 0.000
Cr 0.000 0.000 2.462
P 2.437 2.437 2.462
Pt 0.000 2.437 0.000
Pt 2.437 0.000 0.000
```

Record 5
DFT (PBE-GGA) results for an optimized crystal structure of Mn2FeSb.

Results
**Space group**: P4mm, No. 99
**E_form (uncorrected)**: 253 meV/atom

Cell and atoms, written as extended XYZ:
```
4
Lattice="3.259 0.000 0.000 0.000 3.259 0.000 0.000 0.000 5.404" Properties=species:S:1:pos:R:3 pbc="T T T"
Mn 0.000 0.000 0.000
Mn 1.630 1.630 1.230
Fe 1.630 1.630 4.191
Sb 0.000 0.000 2.707
```

Record 6
DFT (PBE-GGA) results for an optimized crystal structure of CrRuN.

Results
**Space group**: Pmmn, No. 59
**E_form (uncorrected)**: -40 meV/atom

Cell and atoms, written as extended XYZ:
```
6
Lattice="2.864 0.000 0.000 0.000 3.972 0.000 0.000 0.000 5.585" Properties=species:S:1:pos:R:3 pbc="T T T"
Cr 0.716 0.993 0.857
Cr 2.148 2.979 4.729
Ru 0.716 0.993 3.459
Ru 2.148 2.979 2.126
N 0.716 2.979 0.614
N 2.148 0.993 4.971
```

The records above give, respectively, D(E_F) values of 0.6204 0.7483 0.0000 0.6673 0.9759 0.8421 states/eV/atom.
The records above give, respectively, magnetization values of 0.000 4.459 0.000 3.381 6.915 2.692 μB/cell.